[1]
Ba2Cd2Se: relaxed, PBE-GGA.

Summary:
VASP energy: -2.37 eV per atom
Fermi-level density of states: 0.588 states/eV per atom
formation energy (no corrections): -2.70 eV/f.u.
magnetic moment: 0.0 μB/f.u.
polymorph energy (0 for the lowest one): 260 meV per atom

Cell lengths 8.7020, 8.7020, 4.7506 Å; angles 90.00, 90.00, 90.00 degrees
Fractional coordinates of all 10 atoms:
Ba (0.1830, 0.3170, 0.0000)
Ba (0.3170, 0.8170, 0.0000)
Ba (0.6830, 0.1830, 0.0000)
Ba (0.8170, 0.6830, 0.0000)
Cd (0.1187, 0.6187, 0.5000)
Cd (0.3813, 0.1187, 0.5000)
Cd (0.6187, 0.8813, 0.5000)
Cd (0.8813, 0.3813, 0.5000)
Se (0.0000, 0.0000, 0.5000)
Se (0.5000, 0.5000, 0.5000)


[2]
BaCd3Se: relaxed, PBE-GGA.

Summary:
VASP energy: -1.64 eV per atom
Fermi-level density of states: 0.692 states/eV per atom
formation energy (no corrections): -0.05 eV/f.u.
magnetic moment: 0.0 μB/f.u.
polymorph energy (0 for the lowest one): 0 meV per atom

Cell lengths 5.5895, 5.5895, 5.5895 Å; angles 90.00, 90.00, 90.00 degrees
Fractional coordinates of all 5 atoms:
Ba (0.0000, 0.0000, 0.0000)
Cd (0.0000, 0.5000, 0.5000)
Cd (0.5000, 0.0000, 0.5000)
Cd (0.5000, 0.5000, 0.0000)
Se (0.5000, 0.5000, 0.5000)


[3]
Ba2CdSe2: relaxed, PBE-GGA.

Summary:
VASP energy: -3.74 eV per atom
Fermi-level density of states: 0.117 states/eV per atom
formation energy (no corrections): -6.97 eV/f.u.
magnetic moment: 0.0 μB/f.u.
polymorph energy (0 for the lowest one): 0 meV per atom

Cell lengths 8.9666, 8.9666, 4.2051 Å; angles 90.00, 90.00, 90.00 degrees
Fractional coordinates of all 10 atoms:
Ba (0.1535, 0.3465, 0.0000)
Ba (0.3465, 0.8465, 0.0000)
Ba (0.6535, 0.1535, 0.0000)
Ba (0.8465, 0.6535, 0.0000)
Cd (0.0000, 0.0000, 0.5000)
Cd (0.5000, 0.5000, 0.5000)
Se (0.1497, 0.6497, 0.5000)
Se (0.3503, 0.1497, 0.5000)
Se (0.6497, 0.8503, 0.5000)
Se (0.8503, 0.3503, 0.5000)